No. 1
Computed, not measured: a geometry-optimized Y2IrSe structure at the PBE level of DFT.

The calculation puts the total magnetization at 0.000 μB/atom. For the raw total energy, the calculation gives -60.17 eV/cell.

The space group is P6_3/mmc (No. 194) and the conventional cell measures 3.9870, 3.9870 and 14.2721 Å, with angles of 90.00, 90.00 and 120.00 degrees. The asymmetric unit holds Y at (0.3333, 0.6667, 0.1122), Ir at (0.0000, 0.0000, 0.0000) and Se at (0.3333, 0.6667, 0.7500).

No. 2
Computed, not measured: a geometry-optimized Ba12Tl5Pb3 structure at the PBE level of DFT.

The calculation puts the total magnetization at 0.080 μB/atom. The formation energy comes out at -9.75 kJ/mol of atoms. For the raw total energy, the calculation gives -384.40 eV/cell.

The space group is Ia-3d (No. 230) and the conventional cell measures 20.618, 20.618 and 20.618 Å, with angles of 90.00, 90.00 and 90.00 degrees. The asymmetric unit holds Ba at (0.021, 0.076, 0.650), Tl at (0.000, 0.000, 0.000), Tl at (0.000, 0.250, 0.375) and Pb at (0.000, 0.250, 0.125).

No. 3
Computed, not measured: a geometry-optimized MgH3Ir3 structure at the PBE level of DFT.

The calculation puts the total magnetization at 0.000 μB/atom. For the raw total energy, the calculation gives -38.32 eV/cell.

The space group is Pm (No. 6) and the conventional cell measures 4.907, 2.864 and 5.285 Å, with angles of 90.00, 108.17 and 90.00 degrees. The asymmetric unit holds Mg at (0.000, 0.000, 0.000), H at (0.137, 0.000, 0.435), H at (0.452, 0.000, 0.194), H at (0.840, 0.500, 0.196), Ir at (0.493, 0.500, 0.990), Ir at (0.519, 0.000, 0.556) and Ir at (0.994, 0.500, 0.560).

No. 4
Computed, not measured: a geometry-optimized LiHfO structure at the PBE level of DFT.

The calculation puts the total magnetization at 0.000 μB/atom. For the raw total energy, the calculation gives -132.33 eV/cell.

The space group is R-3m (No. 166, hexagonal axes) and the conventional cell measures 3.2013, 3.2013 and 24.2863 Å, with angles of 90.00, 90.00 and 120.00 degrees. The asymmetric unit holds Li at (0.0000, 0.0000, 0.1960), Hf at (0.0000, 0.0000, 0.3826) and O at (0.0000, 0.0000, 0.1108).

Number 1: V 196.47 Å³/cell. Number 2: V 8764.83 Å³/cell. Number 3: V 70.58 Å³/cell. Number 4: V 215.55 Å³/cell.